No. 1
Material: ZrAlP2O
Method: DFT, GGA-PBE
State: relaxed

Properties
E_form (uncorrected): -0.363 eV per atom
spin magnetization: 0.00 Bohr magnetons per cell
polymorph energy (0 for the lowest one): 0.283 eV/atom

abc: 5.169 5.169 3.976
angles: 90.00 90.00 90.00
Atoms (fractional coordinates):
Zr: 0.000 0.000 0.000
Al: 0.500 0.500 0.500
P: 0.000 0.500 0.000
P: 0.500 0.000 0.000
O: 0.000 0.000 0.500


No. 2
Material: PaAlO3
Method: DFT, GGA-PBE
State: relaxed

Properties
E_form (uncorrected): -2.812 eV per atom
spin magnetization: 1.99 Bohr magnetons per cell

abc: 3.781 3.781 3.781
angles: 90.00 90.00 90.00
Atoms (fractional coordinates):
Pa: 0.000 0.000 0.000
Al: 0.500 0.500 0.500
O: 0.000 0.500 0.500
O: 0.500 0.000 0.500
O: 0.500 0.500 0.000


No. 3
Material: Pa2AlO8
Method: DFT, GGA-PBE
State: relaxed

Properties
E_form (uncorrected): -2.674 eV per atom
spin magnetization: 3.05 Bohr magnetons per cell

abc: 4.365 5.866 5.993
angles: 71.41 72.71 75.11
Atoms (fractional coordinates):
Pa: 0.124 0.170 0.164
Pa: 0.876 0.830 0.836
Al: 0.500 0.500 0.500
O: 0.212 0.809 0.444
O: 0.236 0.448 0.822
O: 0.286 0.342 0.382
O: 0.306 0.915 0.917
O: 0.694 0.085 0.083
O: 0.714 0.658 0.618
O: 0.764 0.552 0.178
O: 0.788 0.191 0.556